[1]
K2LaTa5O15: optimized geometry, GGA-PBEsol.

Structure (extended XYZ):
```
46
Lattice="-1.113 -3.271 1.851 10.273 0.616 7.265 -6.353 6.916 8.397" Properties=species:S:1:pos:R:3 pbc="T T T"
K 5.799 1.581 6.279
K -1.879 5.951 9.383
K -0.367 2.393 4.007
K 4.287 5.138 11.655
La 1.960 3.766 7.831
La 0.000 0.000 0.000
Ta 4.580 -1.327 4.558
Ta -3.733 1.822 5.124
Ta 0.837 3.654 11.108
Ta 1.969 0.607 6.406
Ta -4.764 3.852 8.089
Ta 7.570 0.409 9.424
Ta -1.278 2.531 7.852
Ta 4.084 1.730 9.662
Ta 1.147 -0.972 3.122
Ta 1.659 5.233 14.391
O 5.136 0.308 3.633
O -3.177 3.458 4.198
O 5.690 0.807 8.996
O -2.884 3.454 8.517
O 0.978 0.038 4.803
O 1.829 4.223 12.710
O 1.534 5.149 10.018
O 2.385 2.383 5.644
O -4.326 5.629 7.343
O 8.246 1.903 8.320
O -0.518 4.186 7.083
O 4.438 3.346 8.579
O 1.487 0.658 2.057
O 2.432 6.874 13.605
O 4.914 2.352 11.260
O -2.107 1.909 6.254
O -3.380 5.481 11.799
O 6.186 -1.220 5.714
O -0.790 4.499 11.623
O 3.596 -0.238 5.891
O -2.718 0.736 3.814
O 5.524 3.525 13.699
O 2.381 2.634 10.234
O 0.426 1.627 7.280
O -5.158 4.940 9.776
O 7.964 -0.679 7.738
O -0.067 3.012 9.429
O 2.874 1.249 8.084
O -0.774 -0.679 2.484
O 3.581 4.940 15.029
```

Properties
E_form (uncorrected)	-2930	meV per atom
theoretical density	7271	kg/m³
V	311.01	Å³/f.u.
magnetization	0.000	μB per formula unit

[2]
SrSc2Ag: optimized geometry, GGA-PBEsol.

Structure (extended XYZ):
```
4
Lattice="-1.478 3.076 0.378 -2.741 -1.836 4.227 6.315 0.980 1.120" Properties=species:S:1:pos:R:3 pbc="T T T"
Ag -1.370 -0.918 2.113
Sc -0.352 1.289 3.732
Sc 2.449 0.932 1.993
Sr -0.739 1.538 0.189
```

Properties
energy above the most stable polymorph in this dataset	0.0	meV per atom
theoretical density	4553	kg/m³
V	104.09	Å³/f.u.
magnetization	0.002	μB per formula unit

[3]
MnTlZn: optimized geometry, GGA-PBEsol.

Structure (extended XYZ):
```
3
Lattice="-2.333 -3.180 1.833 1.517 -4.076 0.018 1.335 -1.807 3.724" Properties=species:S:1:pos:R:3 pbc="T T T"
Mn 0.000 0.000 0.000
Tl 0.260 -4.532 2.787
Zn 0.130 -2.266 1.394
```

Properties
theoretical density	9270	kg/m³
V	58.17	Å³/f.u.
E	-4.17	eV/atom
magnetization	3.959	μB per formula unit

[4]
CuTe2: optimized geometry, GGA-PBEsol.

Structure (extended XYZ):
```
6
Lattice="4.517 0.000 0.000 0.000 4.517 0.000 0.000 0.000 7.723" Properties=species:S:1:pos:R:3 pbc="T T T"
Te 0.000 0.000 0.000
Te 2.258 2.258 0.000
Te 2.258 0.000 3.870
Te 0.000 2.258 3.852
Cu 2.258 0.000 6.370
Cu 0.000 2.258 1.353
```

Properties
E_form (uncorrected)	45	meV per atom
theoretical density	6718	kg/m³
V	78.78	Å³/f.u.
magnetization	0.000	μB per formula unit

[5]
BaNaO2F: optimized geometry, GGA-PBEsol.

Structure (extended XYZ):
```
5
Lattice="4.218 0.000 0.000 0.000 4.218 0.000 0.000 0.000 4.284" Properties=species:S:1:pos:R:3 pbc="T T T"
Na 0.000 0.000 0.000
Ba 2.109 2.109 2.142
O 0.000 2.109 0.000
O 2.109 0.000 0.000
F 0.000 0.000 2.142
```

Properties
E_form (uncorrected)	-1642	meV per atom
theoretical density	4604	kg/m³
V	76.21	Å³/f.u.
magnetization	2.000	μB per formula unit

[6]
BaInSi2W: optimized geometry, GGA-PBEsol.

Structure (extended XYZ):
```
5
Lattice="-3.811 0.673 2.901 -1.582 -4.449 -1.046 2.981 -2.095 4.403" Properties=species:S:1:pos:R:3 pbc="T T T"
Si -0.791 -2.225 -0.523
Si -1.906 0.337 1.450
Ba 1.490 -1.048 2.201
W 0.000 0.000 0.000
In -1.207 -2.936 3.129
```

Properties
E_form (uncorrected)	554	meV per atom
theoretical density	6112	kg/m³
V	133.70	Å³/f.u.
magnetization	0.000	μB per formula unit

[7]
Be3FeI: optimized geometry, GGA-PBEsol.

Structure (extended XYZ):
```
5
Lattice="4.175 0.000 0.000 0.000 4.175 0.000 0.000 0.000 4.175" Properties=species:S:1:pos:R:3 pbc="T T T"
I 2.087 2.087 2.087
Be 0.000 2.087 0.000
Be 0.000 0.000 2.087
Be 2.087 0.000 0.000
Fe 0.000 0.000 0.000
```

Properties
E_form (uncorrected)	1046	meV per atom
theoretical density	4788	kg/m³
V	72.76	Å³/f.u.
magnetization	1.062	μB per formula unit

[8]
CaZrIr2: optimized geometry, GGA-PBEsol.

Structure (extended XYZ):
```
4
Lattice="-1.908 2.501 0.597 -0.935 0.018 -3.062 -5.354 -4.469 1.609" Properties=species:S:1:pos:R:3 pbc="T T T"
Ca -4.098 -0.975 -0.428
Ir -4.182 -3.490 1.257
Ir -1.172 -0.978 0.352
Zr -1.421 1.259 -1.232
```

Properties
theoretical density	11674	kg/m³
V	73.36	Å³/f.u.
E	-8.33	eV/atom
magnetization	0.000	μB per formula unit

[9]
OsSeF2: optimized geometry, GGA-PBEsol.

Structure (extended XYZ):
```
4
Lattice="2.679 0.000 0.000 1.340 2.321 0.000 1.340 0.774 9.808" Properties=species:S:1:pos:R:3 pbc="T T T"
Os 0.000 0.000 0.000
Se 2.679 1.547 4.904
F 4.019 2.321 1.881
F 1.340 0.774 7.927
```

Properties
E_form (uncorrected)	-663	meV per atom
theoretical density	8364	kg/m³
V	60.99	Å³/f.u.
magnetization	0.000	μB per formula unit

[10]
GePbNF2: optimized geometry, GGA-PBEsol.

Structure (extended XYZ):
```
5
Lattice="4.277 0.000 0.000 0.000 4.454 0.000 0.000 0.000 4.454" Properties=species:S:1:pos:R:3 pbc="T T T"
Pb 0.000 0.000 0.000
Ge 2.139 2.227 2.227
N 2.139 0.000 0.000
F 0.000 0.000 2.227
F 0.000 2.227 0.000
```

Properties
E_form (uncorrected)	-253	meV per atom
theoretical density	6494	kg/m³
V	84.86	Å³/f.u.
magnetization	0.189	μB per formula unit

[11]
La2Cd3: optimized geometry, GGA-PBEsol.

Structure (extended XYZ):
```
10
Lattice="-1.125 4.042 4.481 -4.679 -3.152 -2.419 3.998 -6.417 4.630" Properties=species:S:1:pos:R:3 pbc="T T T"
Cd -3.160 -0.362 3.156
Cd -0.193 -4.928 4.085
Cd -0.799 1.099 4.474
Cd -0.776 -2.793 6.217
Cd -5.546 0.850 1.970
Cd -1.533 -4.601 1.529
La -2.776 -1.546 0.160
La 2.258 -4.178 6.074
La -0.115 -1.726 3.034
La 1.373 -0.402 6.651
```

Properties
energy above the most stable polymorph in this dataset	0.0	meV per atom
theoretical density	7472	kg/m³
V	136.68	Å³/f.u.
magnetization	0.000	μB per formula unit

[12]
Al2FeTe: optimized geometry, GGA-PBEsol.

Structure (extended XYZ):
```
4
Lattice="3.237 0.006 0.000 -0.040 4.336 0.000 -1.599 -2.171 5.042" Properties=species:S:1:pos:R:3 pbc="T T T"
Te -0.020 2.168 0.000
Fe 1.619 0.003 0.000
Al -0.799 -1.086 2.521
Al 0.799 1.086 2.521
```

Properties
E_form (uncorrected)	315	meV per atom
theoretical density	5570	kg/m³
V	70.78	Å³/f.u.
magnetization	2.357	μB per formula unit

[13]
Be3SnGe: optimized geometry, GGA-PBEsol.

Structure (extended XYZ):
```
5
Lattice="4.541 0.000 0.000 0.000 4.541 0.000 0.000 0.000 4.541" Properties=species:S:1:pos:R:3 pbc="T T T"
Be 0.000 2.271 0.000
Be 0.000 0.000 2.271
Be 2.271 0.000 0.000
Ge 2.271 2.271 2.271
Sn 0.000 0.000 0.000
```

Properties
theoretical density	3872	kg/m³
V	93.66	Å³/f.u.
E	-2.97	eV/atom
magnetization	0.000	μB per formula unit

[14]
SiPPb2: optimized geometry, GGA-PBEsol.

Structure (extended XYZ):
```
4
Lattice="-0.760 -1.183 3.501 4.776 -0.828 0.757 0.077 4.642 1.585" Properties=species:S:1:pos:R:3 pbc="T T T"
P -0.380 -0.591 1.750
Pb 0.038 2.321 0.792
Pb 2.388 -0.414 0.379
Si 2.046 1.316 2.921
```

Properties
energy above the most stable polymorph in this dataset	260.3	meV per atom
E_form (uncorrected)	444	meV per atom
theoretical density	8699	kg/m³
V	90.38	Å³/f.u.
magnetization	0.000	μB per formula unit

[15]
RbSnCl2: optimized geometry, GGA-PBEsol.

Structure (extended XYZ):
```
4
Lattice="-1.007 2.546 2.764 -3.535 1.623 -0.045 -4.894 -5.821 6.319" Properties=species:S:1:pos:R:3 pbc="T T T"
Sn 0.000 0.000 0.000
Rb -4.718 -0.826 4.519
Cl -5.475 2.179 4.213
Cl -3.961 -3.830 4.824
```

Properties
E_form (uncorrected)	-1044	meV per atom
theoretical density	3619	kg/m³
V	126.22	Å³/f.u.
magnetization	0.000	μB per formula unit

[16]
CaAgHg: optimized geometry, GGA-PBEsol.

Structure (extended XYZ):
```
3
Lattice="3.484 0.000 0.000 0.000 4.801 0.000 0.000 -2.401 4.158" Properties=species:S:1:pos:R:3 pbc="T T T"
Ca 0.000 0.000 2.772
Hg 1.742 2.401 1.386
Ag 1.742 0.000 0.000
```

Properties
theoretical density	8321	kg/m³
V	69.55	Å³/f.u.
E	-2.40	eV/atom
magnetization	0.000	μB per formula unit

[17]
Li8B2O7: optimized geometry, GGA-PBEsol.

Structure (extended XYZ):
```
68
Lattice="-4.957 4.852 1.769 -3.643 -7.456 0.011 2.135 -1.031 8.808" Properties=species:S:1:pos:R:3 pbc="T T T"
Li -2.977 -6.859 4.396
Li -1.732 -4.889 4.124
Li -0.944 -4.202 6.719
Li -2.112 -2.669 0.445
Li -1.898 -5.023 8.754
Li -0.775 -0.743 0.548
Li -2.948 -3.156 2.691
Li 0.924 -0.497 6.905
Li -4.216 -4.872 4.884
Li -2.569 -2.781 5.029
Li -0.889 -0.903 5.397
Li -5.170 -4.363 2.944
Li -1.120 0.569 2.716
Li -3.189 -2.964 7.351
Li -3.330 -0.692 1.017
Li -6.782 -4.068 1.176
Li 0.316 0.434 9.412
Li -3.135 -2.942 9.571
Li -3.276 -0.670 3.237
Li -5.346 -4.203 7.873
Li -1.295 0.729 7.644
Li -5.577 -2.731 5.191
Li -3.896 -0.854 5.559
Li -2.249 1.238 5.704
Li -7.389 -3.137 3.683
Li -3.517 -0.479 7.897
Li -5.690 -2.891 10.040
Li -4.567 1.389 1.834
Li -4.354 -0.965 10.143
Li -5.521 0.568 3.869
Li -4.734 1.254 6.464
Li -3.488 3.224 6.192
B -2.849 -5.551 1.921
B -0.810 -1.928 2.813
B -3.112 -5.537 6.824
B -1.125 -1.889 7.503
B -5.341 -1.745 3.085
B -3.353 1.902 3.764
B -5.655 -1.706 7.775
B -3.616 1.917 8.667
O -3.657 -6.547 1.181
O -1.723 -6.134 7.113
O -2.612 -4.328 1.143
O -1.247 -3.103 3.601
O -3.468 -5.258 3.238
O -0.050 -2.335 6.495
O -0.182 -0.894 3.646
O -2.932 -4.290 6.070
O -1.941 -1.388 2.019
O -3.708 -5.328 8.208
O -1.566 -3.038 8.370
O -0.557 -0.829 8.346
O -2.269 -1.416 6.621
O -2.507 2.856 4.565
O -3.958 -6.491 6.023
O -4.196 -2.219 3.967
O -5.908 -2.805 2.242
O -4.899 -0.596 2.218
O -2.758 1.694 2.380
O -4.525 -2.246 8.569
O -3.533 0.655 4.518
O -6.283 -2.741 6.942
O -6.415 -1.300 4.093
O -2.997 1.623 7.350
O -5.218 -0.532 6.987
O -3.853 0.693 9.445
O -4.742 2.500 3.475
O -2.809 2.912 9.407
```

Properties
E_form (uncorrected)	-2163	meV per atom
theoretical density	2434	kg/m³
V	129.02	Å³/f.u.
magnetization	0.000	μB per formula unit

[18]
Hf3MnN: optimized geometry, GGA-PBEsol.

Structure (extended XYZ):
```
5
Lattice="4.623 0.000 0.000 0.000 4.623 0.000 0.000 0.000 4.623" Properties=species:S:1:pos:R:3 pbc="T T T"
Mn 0.000 0.000 0.000
Hf 0.000 2.311 0.000
Hf 0.000 0.000 2.311
Hf 2.311 0.000 0.000
N 2.311 2.311 2.311
```

Properties
E_form (uncorrected)	1225	meV per atom
theoretical density	10160	kg/m³
V	98.78	Å³/f.u.
magnetization	0.002	μB per formula unit

[19]
Tm4B6O15: optimized geometry, GGA-PBEsol.

Structure (extended XYZ):
```
50
Lattice="-1.710 2.923 -2.697 -4.319 -3.923 1.961 -1.725 11.905 13.996" Properties=species:S:1:pos:R:3 pbc="T T T"
Tm -2.301 3.572 3.844
Tm -1.937 1.119 1.034
Tm -4.142 11.197 9.298
Tm -3.817 8.811 6.426
Tm -3.937 2.094 6.833
Tm -3.612 -0.292 3.961
Tm -5.817 9.786 12.226
Tm -5.453 7.333 9.416
B -2.893 6.515 4.001
B -2.309 4.118 0.832
B -2.880 5.379 6.346
B -3.056 11.274 12.101
B -2.374 8.707 9.087
B -4.808 13.153 11.664
B -2.946 -2.248 1.596
B -5.380 2.198 4.172
B -4.697 -0.368 1.159
B -4.874 5.526 6.913
B -5.445 6.787 12.427
B -4.861 4.390 9.258
O -1.803 3.764 -0.529
O -2.217 5.785 5.115
O -1.717 3.201 1.758
O -1.928 4.737 7.231
O -1.545 7.801 8.236
O -3.530 12.507 11.403
O -3.731 5.581 3.260
O -2.912 9.721 8.232
O -3.221 11.425 13.550
O -2.048 1.161 3.426
O -3.459 1.622 -0.920
O -4.119 4.505 6.098
O -3.768 10.121 11.561
O -3.338 7.845 9.748
O -4.416 3.060 3.511
O -3.986 0.785 1.698
O -3.635 6.400 7.162
O -4.295 9.283 14.179
O -5.706 9.744 9.834
O -4.533 -0.520 -0.291
O -4.842 1.184 5.027
O -4.022 5.324 9.999
O -4.224 -1.602 1.857
O -6.209 3.104 5.023
O -1.928 5.536 1.137
O -5.826 6.168 6.028
O -6.037 7.704 11.501
O -5.537 5.121 8.144
O -5.951 7.141 13.788
O -1.506 9.292 10.162
```

Properties
E_form (uncorrected)	-3044	meV per atom
theoretical density	7118	kg/m³
V	228.77	Å³/f.u.
magnetization	0.000	μB per formula unit

[20]
GdMgZn2: optimized geometry, GGA-PBEsol.

Structure (extended XYZ):
```
4
Lattice="-3.287 -3.028 -1.711 1.269 -3.390 -3.130 0.051 -4.594 1.339" Properties=species:S:1:pos:R:3 pbc="T T T"
Zn -1.475 -8.259 -2.627
Zn -0.492 -2.753 -0.876
Gd 0.000 0.000 0.000
Mg -0.984 -5.506 -1.751
```

Properties
theoretical density	6693	kg/m³
V	77.50	Å³/f.u.
E	-5.17	eV/atom
magnetization	7.064	μB per formula unit